(1)
A plane-wave DFT calculation with PBE-GGA was carried out for crystalline YAlRe2 at its relaxed geometry.

Cell lengths 2.858, 2.858, 8.469 Å; angles 90.00, 90.00, 90.00 degrees
Space group P4/mmm (No. 123)
Symmetry-distinct sites (fractional):
Y 0.000 0.000 0.000
Al 0.000 0.000 0.500
Re 0.500 0.500 0.285

N(E_F) = 6.4 states/eV per cell
E = -8.4124 eV per atom


(2)
A plane-wave DFT calculation with PBE-GGA was carried out for crystalline YAlRe2 at its relaxed geometry.

Cell lengths 2.8702, 2.8702, 28.9308 Å; angles 90.00, 90.00, 120.00 degrees
Space group R-3m (No. 166, hexagonal axes)
Symmetry-distinct sites (fractional):
Y 0.0000 0.0000 0.0000
Al 0.0000 0.0000 0.5000
Re 0.0000 0.0000 0.2404

N(E_F) = 24.4 states/eV per cell
E = -8.3469 eV per atom


(3)
A plane-wave DFT calculation with PBE-GGA was carried out for crystalline YAlRe4 at its relaxed geometry.

Cell lengths 7.494, 7.494, 7.494 Å; angles 90.00, 90.00, 90.00 degrees
Space group F-43m (No. 216)
Symmetry-distinct sites (fractional):
Y 0.000 0.000 0.000
Al 0.250 0.250 0.750
Re 0.124 0.124 0.376

N(E_F) = 14.2 states/eV per cell
E = -9.9830 eV per atom


(4)
A plane-wave DFT calculation with PBE-GGA was carried out for crystalline Y2Al2Re at its relaxed geometry.

Cell lengths 7.017, 7.017, 4.331 Å; angles 90.00, 90.00, 90.00 degrees
Space group P4/mbm (No. 127)
Symmetry-distinct sites (fractional):
Y 0.179 0.321 0.000
Al 0.133 0.633 0.500
Re 0.000 0.000 0.500

N(E_F) = 13.9 states/eV per cell
E = -6.6622 eV per atom